VASP calculation (PBE-GGA) on crystalline CoCuNiS4 at its relaxed geometry.

Output
raw formation energy = -0.367 eV/atom
DFT total energy = -5.152 eV per atom

Structure (CIF):
```
data_CoCuNiS4
_chemical_formula_sum 'Co4 Cu4 Ni4 S16'
_cell_length_a 6.7178
_cell_length_b 6.7800
_cell_length_c 9.5172
_cell_angle_alpha 90.00
_cell_angle_beta 90.00
_cell_angle_gamma 90.00
_space_group_name_H-M_alt 'I m m a'
_space_group_IT_number 74
_space_group_name_Hall '-I 2b 2'
loop_
_atom_site_label
_atom_site_type_symbol
_atom_site_fract_x
_atom_site_fract_y
_atom_site_fract_z
_atom_site_occupancy
Co1 Co 0.2500 0.2500 0.2500 1
Cu1 Cu 0.0000 0.2500 0.6267 1
Ni1 Ni 0.0000 0.0000 0.0000 1
S1 S 0.0000 0.0288 0.2394 1
S2 S 0.2262 0.2500 0.0144 1
```


VASP calculation (PBE-GGA) on crystalline Zn2CdCoH at its relaxed geometry.

Output
DFT total energy = -2.625 eV per atom

Structure (CIF):
```
data_Zn2CdCoH
_chemical_formula_sum 'Zn2 Cd1 Co1 H1'
_cell_length_a 4.3121
_cell_length_b 4.3121
_cell_length_c 3.3343
_cell_angle_alpha 90.00
_cell_angle_beta 90.00
_cell_angle_gamma 90.00
_space_group_name_H-M_alt 'P 4/m m m'
_space_group_IT_number 123
_space_group_name_Hall '-P 4 2'
loop_
_atom_site_label
_atom_site_type_symbol
_atom_site_fract_x
_atom_site_fract_y
_atom_site_fract_z
_atom_site_occupancy
Zn1 Zn 0.0000 0.5000 0.0000 1
Cd1 Cd 0.0000 0.0000 0.5000 1
Co1 Co 0.5000 0.5000 0.5000 1
H1 H 0.5000 0.5000 0.0000 1
```


VASP calculation (PBE-GGA) on crystalline Ce2PrSm3P6 at its relaxed geometry.

Output
energy relative to the elements = -1.547 eV/atom
DFT total energy = -6.819 eV per atom

Structure (CIF):
```
data_Ce2PrSm3P6
_chemical_formula_sum 'Ce4 Pr2 Sm6 P12'
_cell_length_a 7.1283
_cell_length_b 12.3461
_cell_length_c 7.1214
_cell_angle_alpha 90.00
_cell_angle_beta 109.49
_cell_angle_gamma 90.00
_space_group_name_H-M_alt 'C 1 2/m 1'
_space_group_IT_number 12
_space_group_name_Hall '-C 2y'
loop_
_atom_site_label
_atom_site_type_symbol
_atom_site_fract_x
_atom_site_fract_y
_atom_site_fract_z
_atom_site_occupancy
Ce1 Ce 0.0000 0.1670 0.0000 1
Pr1 Pr 0.0000 0.5000 0.0000 1
Sm1 Sm 0.0000 0.0000 0.5000 1
Sm2 Sm 0.0000 0.3345 0.5000 1
P1 P 0.2433 0.0000 0.2489 1
P2 P 0.2472 0.1698 0.7514 1
```


VASP calculation (PBE-GGA) on crystalline Ca8HgPt2 at its relaxed geometry.

Output
energy relative to the elements = -0.517 eV/atom
DFT total energy = -3.099 eV per atom

Structure (CIF):
```
data_Ca8HgPt2
_chemical_formula_sum 'Ca16 Hg2 Pt4'
_cell_length_a 9.0743
_cell_length_b 13.2829
_cell_length_c 5.8533
_cell_angle_alpha 90.00
_cell_angle_beta 103.90
_cell_angle_gamma 90.00
_space_group_name_H-M_alt 'C 1 m 1'
_space_group_IT_number 8
_space_group_name_Hall 'C -2y'
loop_
_atom_site_label
_atom_site_type_symbol
_atom_site_fract_x
_atom_site_fract_y
_atom_site_fract_z
_atom_site_occupancy
Ca1 Ca 0.0000 0.0000 0.0000 1
Ca2 Ca 0.0736 0.3666 0.7862 1
Ca3 Ca 0.1781 0.1339 0.6119 1
Ca4 Ca 0.2548 0.5000 0.4045 1
Ca5 Ca 0.3752 0.2413 0.2004 1
Hg1 Hg 0.3771 0.0000 0.2743 1
Pt1 Pt 0.3767 0.3146 0.7029 1
```


VASP calculation (PBE-GGA) on crystalline TiNiMo at its relaxed geometry.

Output
energy above the lowest structure with this stoichiometry = 0.0 meV per atom
energy relative to the elements = -0.058 eV/atom
DFT total energy = -8.227 eV per atom

Structure (CIF):
```
data_TiNiMo
_chemical_formula_sum 'Ti2 Ni2 Mo2'
_cell_length_a 3.6142
_cell_length_b 3.6142
_cell_length_c 6.8994
_cell_angle_alpha 90.00
_cell_angle_beta 90.00
_cell_angle_gamma 90.00
_space_group_name_H-M_alt 'P 4/n m m'
_space_group_IT_number 129
loop_
_space_group_symop_operation_xyz
'x,y,z'
'-x,-y,-z'
'-y+1/2,x,z'
'y+1/2,-x,-z'
'-x+1/2,-y+1/2,z'
'x+1/2,y+1/2,-z'
'y,-x+1/2,z'
'-y,x+1/2,-z'
'x+1/2,-y,-z'
'-x+1/2,y,z'
'-y,-x,-z'
'y,x,z'
'-x,y+1/2,-z'
'x,-y+1/2,z'
'y+1/2,x+1/2,-z'
'-y+1/2,-x+1/2,z'
loop_
_atom_site_label
_atom_site_type_symbol
_atom_site_fract_x
_atom_site_fract_y
_atom_site_fract_z
_atom_site_occupancy
Ti1 Ti 0.2500 0.2500 0.1357 1
Ni1 Ni 0.2500 0.2500 0.7869 1
Mo1 Mo 0.2500 0.7500 0.5000 1
```


VASP calculation (PBE-GGA) on crystalline BaTmNpO6 at its relaxed geometry.

Output
raw formation energy = -3.026 eV/atom
DFT total energy = -8.480 eV per atom

Structure (CIF):
```
data_BaTmNpO6
_chemical_formula_sum 'Ba2 Tm2 Np2 O12'
_cell_length_a 5.8053
_cell_length_b 5.8053
_cell_length_c 11.1028
_cell_angle_alpha 90.00
_cell_angle_beta 90.00
_cell_angle_gamma 120.00
_space_group_name_H-M_alt 'P -3 1 c'
_space_group_IT_number 163
_space_group_name_Hall '-P 3 2c'
loop_
_atom_site_label
_atom_site_type_symbol
_atom_site_fract_x
_atom_site_fract_y
_atom_site_fract_z
_atom_site_occupancy
Ba1 Ba 0.0000 0.0000 0.0000 1
Tm1 Tm 0.3333 0.6667 0.2500 1
Np1 Np 0.3333 0.6667 0.7500 1
O1 O 0.0254 0.3908 0.6501 1
```


VASP calculation (PBE-GGA) on crystalline Sr2CaZnSb2 at its relaxed geometry.

Output
raw formation energy = -0.693 eV/atom
DFT total energy = -3.173 eV per atom

Structure (CIF):
```
data_Sr2CaZnSb2
_chemical_formula_sum 'Sr8 Ca4 Zn4 Sb8'
_cell_length_a 6.6924
_cell_length_b 16.9829
_cell_length_c 7.0007
_cell_angle_alpha 90.00
_cell_angle_beta 90.00
_cell_angle_gamma 90.00
_space_group_name_H-M_alt 'I b a m'
_space_group_IT_number 72
_space_group_name_Hall '-I 2 2c'
loop_
_atom_site_label
_atom_site_type_symbol
_atom_site_fract_x
_atom_site_fract_y
_atom_site_fract_z
_atom_site_occupancy
Sr1 Sr 0.1965 0.1687 0.0000 1
Ca1 Ca 0.0000 0.5000 0.2500 1
Zn1 Zn 0.0000 0.0000 0.2500 1
Sb1 Sb 0.2003 0.3654 0.0000 1
```


VASP calculation (PBE-GGA) on crystalline BaSn5Cl12 at its relaxed geometry.

Output
raw formation energy = -1.214 eV/atom
DFT total energy = -3.664 eV per atom

Structure (CIF):
```
data_BaSn5Cl12
_chemical_formula_sum 'Ba2 Sn10 Cl24'
_cell_length_a 7.5784
_cell_length_b 13.2069
_cell_length_c 12.8127
_cell_angle_alpha 90.00
_cell_angle_beta 90.41
_cell_angle_gamma 90.00
_space_group_name_H-M_alt 'C 1 2/m 1'
_space_group_IT_number 12
_space_group_name_Hall '-C 2y'
loop_
_atom_site_label
_atom_site_type_symbol
_atom_site_fract_x
_atom_site_fract_y
_atom_site_fract_z
_atom_site_occupancy
Ba1 Ba 0.0000 0.0000 0.0000 1
Sn1 Sn 0.0000 0.1669 0.5000 1
Sn2 Sn 0.0000 0.3334 0.0000 1
Sn3 Sn 0.0000 0.5000 0.5000 1
Cl1 Cl 0.1465 0.5000 0.1167 1
Cl2 Cl 0.1641 0.0000 0.3878 1
Cl3 Cl 0.1650 0.3336 0.3888 1
Cl4 Cl 0.1776 0.1771 0.1164 1
```


VASP calculation (PBE-GGA) on crystalline TlZnB at its relaxed geometry.

Output
energy relative to the elements = 0.795 eV/atom
DFT total energy = -2.644 eV per atom

Structure (CIF):
```
data_TlZnB
_chemical_formula_sum 'Tl2 Zn2 B2'
_cell_length_a 3.7471
_cell_length_b 3.7471
_cell_length_c 9.6001
_cell_angle_alpha 90.00
_cell_angle_beta 90.00
_cell_angle_gamma 120.00
_space_group_name_H-M_alt 'P 63/m m c'
_space_group_IT_number 194
_space_group_name_Hall '-P 6c 2c'
loop_
_atom_site_label
_atom_site_type_symbol
_atom_site_fract_x
_atom_site_fract_y
_atom_site_fract_z
_atom_site_occupancy
Tl1 Tl 0.0000 0.0000 0.0000 1
Zn1 Zn 0.3333 0.6667 0.2500 1
B1 B 0.0000 0.0000 0.2500 1
```


VASP calculation (PBE-GGA) on crystalline ErPa2Ge3 at its relaxed geometry.

Output
energy relative to the elements = -0.557 eV/atom
DFT total energy = -6.791 eV per atom

Structure (CIF):
```
data_ErPa2Ge3
_chemical_formula_sum 'Er4 Pa8 Ge12'
_cell_length_a 8.2645
_cell_length_b 5.8439
_cell_length_c 12.3762
_cell_angle_alpha 90.00
_cell_angle_beta 90.00
_cell_angle_gamma 90.00
_space_group_name_H-M_alt 'P n m a'
_space_group_IT_number 62
_space_group_name_Hall '-P 2ac 2n'
loop_
_atom_site_label
_atom_site_type_symbol
_atom_site_fract_x
_atom_site_fract_y
_atom_site_fract_z
_atom_site_occupancy
Er1 Er 0.1239 0.2500 0.0828 1
Pa1 Pa 0.1252 0.2500 0.7503 1
Pa2 Pa 0.1277 0.2500 0.4166 1
Ge1 Ge 0.1230 0.7500 0.4158 1
Ge2 Ge 0.1238 0.7500 0.7499 1
Ge3 Ge 0.1282 0.7500 0.0852 1
```


VASP calculation (PBE-GGA) on crystalline TaV2Ge at its relaxed geometry.

Output
energy relative to the elements = -0.223 eV/atom
DFT total energy = -8.900 eV per atom

Structure (CIF):
```
data_TaV2Ge
_chemical_formula_sum 'Ta1 V2 Ge1'
_cell_length_a 3.2502
_cell_length_b 3.2502
_cell_length_c 5.6591
_cell_angle_alpha 90.00
_cell_angle_beta 90.00
_cell_angle_gamma 90.00
_space_group_name_H-M_alt 'P 4/m m m'
_space_group_IT_number 123
_space_group_name_Hall '-P 4 2'
loop_
_atom_site_label
_atom_site_type_symbol
_atom_site_fract_x
_atom_site_fract_y
_atom_site_fract_z
_atom_site_occupancy
Ta1 Ta 0.0000 0.0000 0.0000 1
V1 V 0.5000 0.5000 0.2710 1
Ge1 Ge 0.0000 0.0000 0.5000 1
```


VASP calculation (PBE-GGA) on crystalline Pr12AlTl6 at its relaxed geometry.

Output
energy relative to the elements = -0.183 eV/atom
DFT total energy = -4.146 eV per atom

Structure (CIF):
```
data_Pr12AlTl6
_chemical_formula_sum 'Pr36 Al3 Tl18'
_cell_length_a 11.9323
_cell_length_b 11.9323
_cell_length_c 14.5624
_cell_angle_alpha 90.00
_cell_angle_beta 90.00
_cell_angle_gamma 120.00
_space_group_name_H-M_alt 'R -3'
_space_group_IT_number 148
_space_group_name_Hall '-R 3'
loop_
_atom_site_label
_atom_site_type_symbol
_atom_site_fract_x
_atom_site_fract_y
_atom_site_fract_z
_atom_site_occupancy
Pr1 Pr 0.0611 0.2179 0.4077 1
Pr2 Pr 0.0689 0.8828 0.8194 1
Al1 Al 0.0000 0.0000 0.0000 1
Tl1 Tl 0.0283 0.5883 0.7116 1
```


Q: Which value of DFT total energy does entry 2 give?
A: -2.625 eV per atom


Q: Among the records above, which one has the highest DFT total energy?
A: Zn2CdCoH